Record 1
{
  "formula": "AlPb4W",
  "functional": "PBE",
  "state": "optimized geometry",
  "space_group": "F-43m",
  "e_form_mev_per_atom": 1187.4,
  "lattice_angstrom": [[0.0000, 4.4586, 4.4586], [4.4586, 0.0000, 4.4586], [4.4586, 4.4586, 0.0000]],
  "species": ["Al", "Pb", "Pb", "Pb", "Pb", "W"],
  "frac_coords": [[0.0000, 0.0000, 0.0000], [0.1271, 0.6243, 0.6243], [0.6243, 0.1271, 0.6243], [0.6243, 0.6243, 0.1271], [0.6243, 0.6243, 0.6243], [0.2500, 0.2500, 0.2500]]
}

Record 2
{
  "formula": "Mn2OsW",
  "functional": "PBE",
  "state": "optimized geometry",
  "space_group": "Imm2",
  "e_form_mev_per_atom": 117.8,
  "lattice_angstrom": [[3.0577, 0.0000, 0.0000], [0.0000, 4.1908, 0.0000], [0.0000, 0.0000, 8.5289]],
  "species": ["Mn", "Mn", "Mn", "Mn", "Os", "Os", "W", "W"],
  "frac_coords": [[0.0000, 0.0000, 0.0000], [0.0000, 0.5000, 0.2592], [0.5000, 0.0000, 0.7592], [0.5000, 0.5000, 0.5000], [0.0000, 0.5000, 0.7512], [0.5000, 0.0000, 0.2512], [0.0000, 0.0000, 0.5075], [0.5000, 0.5000, 0.0075]]
}

Record 3
{
  "formula": "AgPd8Au5",
  "functional": "PBE",
  "state": "optimized geometry",
  "space_group": "C2",
  "e_form_mev_per_atom": 81.7,
  "lattice_angstrom": [[4.0148, -3.4413, 0.0000], [4.0148, 3.4413, 0.0000], [-3.9775, 0.0000, 8.7848]],
  "species": ["Ag", "Pd", "Pd", "Pd", "Pd", "Pd", "Pd", "Pd", "Pd", "Au", "Au", "Au", "Au", "Au"],
  "frac_coords": [[0.0000, 0.0000, 0.0000], [0.0625, 0.9141, 0.3052], [0.0859, 0.9375, 0.6948], [0.1350, 0.4906, 0.8021], [0.2907, 0.3938, 0.2393], [0.5094, 0.8650, 0.1979], [0.6049, 0.1994, 0.7417], [0.6062, 0.7093, 0.7607], [0.8006, 0.3951, 0.2583], [0.2256, 0.4235, 0.5182], [0.4535, 0.1568, 0.9800], [0.5765, 0.7744, 0.4818], [0.7519, 0.2481, 0.5000], [0.8432, 0.5465, 0.0200]]
}

Record 4
{
  "formula": "LiScMo3",
  "functional": "PBE",
  "state": "optimized geometry",
  "space_group": "Pm-3m",
  "e_form_mev_per_atom": 1139.0,
  "lattice_angstrom": [[4.3529, 0.0000, 0.0000], [0.0000, 4.3529, 0.0000], [0.0000, 0.0000, 4.3529]],
  "species": ["Li", "Sc", "Mo", "Mo", "Mo"],
  "frac_coords": [[0.0000, 0.0000, 0.0000], [0.5000, 0.5000, 0.5000], [0.0000, 0.0000, 0.5000], [0.0000, 0.5000, 0.0000], [0.5000, 0.0000, 0.0000]]
}

Record 5
{
  "formula": "BaCoRu2",
  "functional": "PBE",
  "state": "optimized geometry",
  "space_group": "P4/mmm",
  "e_form_mev_per_atom": 739.9,
  "lattice_angstrom": [[3.0766, 0.0000, 0.0000], [0.0000, 3.0766, 0.0000], [0.0000, 0.0000, 7.8278]],
  "species": ["Ba", "Co", "Ru", "Ru"],
  "frac_coords": [[0.0000, 0.0000, 0.0000], [0.0000, 0.0000, 0.5000], [0.5000, 0.5000, 0.3356], [0.5000, 0.5000, 0.6644]]
}

Record 6
{
  "formula": "NiPd3",
  "functional": "PBE",
  "state": "optimized geometry",
  "space_group": "Cmcm",
  "e_form_mev_per_atom": 172.5,
  "lattice_angstrom": [[5.3006, 0.0000, 0.0000], [0.0000, 16.8127, 0.0000], [0.0000, 0.0000, 2.7134]],
  "species": ["Ni", "Ni", "Ni", "Ni", "Pd", "Pd", "Pd", "Pd", "Pd", "Pd", "Pd", "Pd", "Pd", "Pd", "Pd", "Pd"],
  "frac_coords": [[0.0000, 0.1769, 0.2500], [0.0000, 0.8231, 0.7500], [0.5000, 0.3231, 0.7500], [0.5000, 0.6769, 0.2500], [0.0000, 0.3040, 0.7500], [0.0000, 0.6960, 0.2500], [0.2488, 0.4295, 0.2500], [0.2488, 0.5705, 0.7500], [0.2512, 0.0705, 0.7500], [0.2512, 0.9295, 0.2500], [0.5000, 0.1960, 0.2500], [0.5000, 0.8040, 0.7500], [0.7488, 0.0705, 0.7500], [0.7488, 0.9295, 0.2500], [0.7512, 0.4295, 0.2500], [0.7512, 0.5705, 0.7500]]
}

Record 7
{
  "formula": "TiMn2CrOs",
  "functional": "PBE",
  "state": "optimized geometry",
  "space_group": "P4/mmm",
  "e_form_mev_per_atom": 1338.2,
  "lattice_angstrom": [[4.4314, 0.0000, 0.0000], [0.0000, 4.4314, 0.0000], [0.0000, 0.0000, 4.5162]],
  "species": ["Ti", "Mn", "Mn", "Cr", "Os"],
  "frac_coords": [[0.0000, 0.0000, 0.0000], [0.0000, 0.5000, 0.5000], [0.5000, 0.0000, 0.5000], [0.5000, 0.5000, 0.0000], [0.5000, 0.5000, 0.5000]]
}

Record 8
{
  "formula": "KCuW2",
  "functional": "PBE",
  "state": "optimized geometry",
  "space_group": "Immm",
  "e_form_mev_per_atom": 927.5,
  "lattice_angstrom": [[2.5942, 0.0000, 0.0000], [0.0000, 4.9732, 0.0000], [0.0000, 0.0000, 11.5596]],
  "species": ["K", "K", "Cu", "Cu", "W", "W", "W", "W"],
  "frac_coords": [[0.0000, 0.0000, 0.0000], [0.5000, 0.5000, 0.5000], [0.0000, 0.0000, 0.5000], [0.5000, 0.5000, 0.0000], [0.0000, 0.5000, 0.2104], [0.0000, 0.5000, 0.7896], [0.5000, 0.0000, 0.2896], [0.5000, 0.0000, 0.7104]]
}

Record 9
{
  "formula": "AcPuSbO6",
  "functional": "PBE",
  "state": "optimized geometry",
  "raw_formation_energy_kj_per_mol_atoms": -230.4,
  "space_group": "P-31c",
  "lattice_angstrom": [[5.8376, 0.0000, 0.0000], [-2.9188, 5.0555, 0.0000], [0.0000, 0.0000, 9.2195]],
  "species": ["Ac", "Ac", "Pu", "Pu", "Sb", "Sb", "O", "O", "O", "O", "O", "O", "O", "O", "O", "O", "O", "O"],
  "frac_coords": [[0.3333, 0.6667, 0.2500], [0.6667, 0.3333, 0.7500], [0.0000, 0.0000, 0.0000], [0.0000, 0.0000, 0.5000], [0.3333, 0.6667, 0.7500], [0.6667, 0.3333, 0.2500], [0.0639, 0.3605, 0.6260], [0.0639, 0.7034, 0.8740], [0.2966, 0.3605, 0.8740], [0.2966, 0.9361, 0.6260], [0.3605, 0.0639, 0.1260], [0.3605, 0.2966, 0.3740], [0.6395, 0.7034, 0.6260], [0.6395, 0.9361, 0.8740], [0.7034, 0.0639, 0.3740], [0.7034, 0.6395, 0.1260], [0.9361, 0.2966, 0.1260], [0.9361, 0.6395, 0.3740]]
}

Record 10
{
  "formula": "Pm3Pr8Ho2",
  "functional": "PBE",
  "state": "optimized geometry",
  "space_group": "C2/m",
  "e_form_mev_per_atom": 152.0,
  "lattice_angstrom": [[6.6600, -5.9892, 0.0000], [6.6600, 5.9892, 0.0000], [-2.4489, 0.0000, 5.7618]],
  "species": ["Pm", "Pm", "Pm", "Pr", "Pr", "Pr", "Pr", "Pr", "Pr", "Pr", "Pr", "Ho", "Ho"],
  "frac_coords": [[0.0000, 0.0000, 0.0000], [0.2460, 0.7540, 0.5000], [0.7540, 0.2460, 0.5000], [0.0826, 0.5722, 0.8290], [0.1517, 0.1517, 0.5506], [0.4278, 0.9174, 0.1710], [0.4435, 0.4435, 0.7115], [0.5565, 0.5565, 0.2885], [0.5722, 0.0826, 0.8290], [0.8483, 0.8483, 0.4494], [0.9174, 0.4278, 0.1710], [0.2887, 0.2887, 0.1432], [0.7113, 0.7113, 0.8568]]
}

Record 11
{
  "formula": "Ni3SnCl",
  "functional": "PBE",
  "state": "optimized geometry",
  "raw_formation_energy_kj_per_mol_atoms": 44.5,
  "space_group": "Pm-3m",
  "lattice_angstrom": [[4.2987, 0.0000, 0.0000], [0.0000, 4.2987, 0.0000], [0.0000, 0.0000, 4.2987]],
  "species": ["Ni", "Ni", "Ni", "Sn", "Cl"],
  "frac_coords": [[0.0000, 0.0000, 0.5000], [0.0000, 0.5000, 0.0000], [0.5000, 0.0000, 0.0000], [0.5000, 0.5000, 0.5000], [0.0000, 0.0000, 0.0000]]
}

Record 12
{
  "formula": "NaReGe2O8",
  "functional": "PBE",
  "state": "optimized geometry",
  "raw_formation_energy_kj_per_mol_atoms": -140.9,
  "space_group": "Cmmm",
  "lattice_angstrom": [[3.2728, -3.3367, 0.0000], [3.2728, 3.3367, 0.0000], [0.0000, 0.0000, 5.9884]],
  "species": ["Na", "Re", "Ge", "Ge", "O", "O", "O", "O", "O", "O", "O", "O"],
  "frac_coords": [[0.0000, 0.0000, 0.0000], [0.0000, 0.0000, 0.5000], [0.5000, 0.5000, 0.2360], [0.5000, 0.5000, 0.7640], [0.2044, 0.2044, 0.2862], [0.2044, 0.2044, 0.7138], [0.3051, 0.6949, 0.5000], [0.3192, 0.6808, 0.0000], [0.6808, 0.3192, 0.0000], [0.6949, 0.3051, 0.5000], [0.7956, 0.7956, 0.2862], [0.7956, 0.7956, 0.7138]]
}

| no. | calculated total energy (eV/f.u.) |
| --- | --- |
| 1 | -24.4 |
| 2 | -42.1 |
| 3 | -59.6 |
| 4 | -35.0 |
| 5 | -24.6 |
| 6 | -20.7 |
| 7 | -40.4 |
| 8 | -27.4 |
| 9 | -73.8 |
| 10 | -59.7 |
| 11 | -20.9 |
| 12 | -80.2 |